# GGA-PBE NaBe2Cd2, relaxed
# **Energy relative to the lowest polymorph listed for this composition**: 55 meV per atom
# **Space group**: No. 127
data_NaBe2Cd2
_chemical_formula_sum 'Na2 Be4 Cd4'
_cell_length_a 7.915
_cell_length_b 7.915
_cell_length_c 2.733
_cell_angle_alpha 90.00
_cell_angle_beta 90.00
_cell_angle_gamma 90.00
_symmetry_space_group_name_H-M 'P 1'
_symmetry_Int_Tables_number 1
_symmetry_space_group_name_Hall 'P 1'
loop_
_atom_site_label
_atom_site_fract_x
_atom_site_fract_y
_atom_site_fract_z
Be1 0.644 0.856 0.500
Be2 0.856 0.356 0.500
Cd1 0.850 0.650 0.000
Cd2 0.150 0.350 0.000
Na1 0.500 0.500 0.000
Cd3 0.350 0.850 0.000
Cd4 0.650 0.150 0.000
Be3 0.144 0.644 0.500
Be4 0.356 0.144 0.500
Na2 0.000 0.000 0.000



# GGA-PBE NaBeCd, relaxed
# **Energy relative to the lowest polymorph listed for this composition**: 0 meV per atom
# **Space group**: No. 69
data_NaBeCd
_chemical_formula_sum 'Na4 Be4 Cd4'
_cell_length_a 4.970
_cell_length_b 10.518
_cell_length_c 4.823
_cell_angle_alpha 90.00
_cell_angle_beta 119.02
_cell_angle_gamma 90.00
_symmetry_space_group_name_H-M 'P 1'
_symmetry_Int_Tables_number 1
_symmetry_space_group_name_Hall 'P 1'
loop_
_atom_site_label
_atom_site_fract_x
_atom_site_fract_y
_atom_site_fract_z
Cd1 0.000 0.832 0.000
Cd2 0.000 0.168 0.000
Be1 0.500 0.750 0.500
Be2 0.500 0.250 0.000
Na1 0.327 0.000 0.664
Cd3 0.000 0.668 0.500
Be3 0.500 0.250 0.500
Na2 0.327 0.500 0.164
Na3 0.673 0.500 0.836
Be4 0.500 0.750 0.000
Na4 0.673 0.000 0.336
Cd4 0.000 0.332 0.500



# GGA-PBE NaBeCd3, relaxed
# **Energy relative to the lowest polymorph listed for this composition**: 871 meV per atom
# **Space group**: No. 221
data_NaBeCd3
_chemical_formula_sum 'Na1 Be1 Cd3'
_cell_length_a 5.569
_cell_length_b 5.569
_cell_length_c 5.569
_cell_angle_alpha 90.00
_cell_angle_beta 90.00
_cell_angle_gamma 90.00
_symmetry_space_group_name_H-M 'P 1'
_symmetry_Int_Tables_number 1
_symmetry_space_group_name_Hall 'P 1'
loop_
_atom_site_label
_atom_site_fract_x
_atom_site_fract_y
_atom_site_fract_z
Cd1 0.500 0.000 0.000
Na1 0.000 0.000 0.000
Cd2 0.000 0.500 0.000
Cd3 0.000 0.000 0.500
Be1 0.500 0.500 0.500



# GGA-PBE NaBeCd, relaxed
# **Energy relative to the lowest polymorph listed for this composition**: 12 meV per atom
# **Space group**: No. 11
data_NaBeCd
_chemical_formula_sum 'Na2 Be2 Cd2'
_cell_length_a 4.450
_cell_length_b 5.120
_cell_length_c 5.664
_cell_angle_alpha 74.44
_cell_angle_beta 89.95
_cell_angle_gamma 89.98
_symmetry_space_group_name_H-M 'P 1'
_symmetry_Int_Tables_number 1
_symmetry_space_group_name_Hall 'P 1'
loop_
_atom_site_label
_atom_site_fract_x
_atom_site_fract_y
_atom_site_fract_z
Cd1 0.250 0.167 0.945
Be1 0.750 0.396 0.970
Na1 0.750 0.251 0.483
Cd2 0.750 0.833 0.055
Be2 0.250 0.604 0.030
Na2 0.250 0.749 0.517



Per-record M_tot, Bohr magnetons per cell: 0.0, 0.0, 0.0, 0.0
Per-record E, eV/cell: -17.71, -21.16, -2.87, -10.50
Per-record ΔH_f (0 K), eV/atom: 0.35, 0.22, 0.98, 0.24